A plane-wave DFT calculation with PBE was carried out for a relaxed Cs2ZrMnTe4 crystal.

Cell lengths 6.6330, 8.4905, 14.2988 Å; angles 84.80, 76.59, 67.01 degrees
Last column: magnetic moment on the atom in μB.
Fractional positions:
Cs 0.5706 0.5000 0.8588  0.00
Cs 0.1794 0.0000 0.6412  0.00
Cs 0.9294 0.5000 0.1412  0.00
Cs 0.8206 0.0000 0.3588  0.00
Te 0.2085 0.1997 0.8896  0.02
Te 0.1582 0.3003 0.3896  0.02
Te 0.5415 0.3003 0.6104  0.02
Te 0.5918 0.1997 0.1104  0.02
Te 0.2978 0.8003 0.1104  0.02
Te 0.8481 0.6997 0.6104  0.02
Te 0.4522 0.6997 0.3896  0.02
Te 0.9019 0.8003 0.8896  0.02
Mn 0.5000 0.0000 0.0000  4.09
Mn 0.2500 0.5000 0.5000  4.09
Zr 0.0000 0.0000 0.0000  0.16
Zr 0.7500 0.5000 0.5000  0.16

Values from the calculation:
- formation energy without anion corrections (eV/f.u.) = -6.77
- calculated density (g/cm3) = 4.25
- space-group type = Fddd
- M_tot (μB/cell) = 10.0